An optimized crystal structure of BaNiTe. Source: Alexandria, functional PBE.

Values from the calculation:
- formation energy from raw total energies (meV/atom) = -747

Cell: 4.6152 6.1541 6.6818 Å, 93.34 98.63 101.50°
With the nearest neighbours (Å) after each atom.
Space group P1 (No. 1)
Asymmetric unit:
1 Ba 0.0000 0.0000 0.0000 [1 per cell]  3 Ni 3.04-3.26
2 Ba 0.2607 0.5646 0.4525 [1 per cell]  2 Ni 3.16-3.25, 3 Te 3.32-3.49
3 Ni 0.6499 0.3251 0.1756 [1 per cell]  2 Te 2.48, 1 Ni 2.57
4 Ni 0.8018 0.4030 0.8278 [1 per cell]  3 Te 2.57-2.66, 1 Ni 2.57
5 Te 0.3733 0.5510 0.9542 [1 per cell]  3 Ni 2.48-2.60
6 Te 0.6656 0.1287 0.4895 [1 per cell]  2 Ni 2.48-2.66



An optimized crystal structure of Pm3Pd5. Source: Alexandria, functional PBE.

Values from the calculation:
- total energy (eV per atom) = -5.863

Cell: 9.3749 7.2842 9.9390 Å, 90.00 90.00 90.00°
With the nearest neighbours (Å) after each atom.
Space group Cmcm (No. 63)
Asymmetric unit:
1 Pm 0.0000 0.1270 0.2500 [4 per cell]  7 Pd 2.86-3.01
2 Pm 0.2016 0.5000 0.0000 [8 per cell]  10 Pd 3.02-3.25
3 Pd 0.0000 0.1833 0.5499 [8 per cell]  4 Pd 2.85-2.88, 6 Pm 3.01-3.14
4 Pd 0.0000 0.4701 0.7500 [4 per cell]  4 Pd 2.79-2.88, 1 Pm 2.94
5 Pd 0.2208 0.2136 0.7500 [8 per cell]  3 Pd 2.79-2.88, 3 Pm 2.86-3.02



Number 1: spin magnetization 0.00 μB/f.u.. Number 2: spin magnetization 0.00 μB/f.u..